meta-GGA SCAN Ag2SbPb, single point on PBEsol structure; magnetic moment = 0.000 μB per atom; E_form (uncorrected) = 0.13 eV/atom; DOS at the Fermi energy = 1.29 states/eV per cell
1.0
3.253 0.000 0.000
0.000 4.646 0.000
0.000 0.000 6.065
Ag Sb Pb
2 1 1
Direct
0.000 0.000 0.237
0.000 0.000 0.763
0.000 0.500 0.500
0.500 0.500 0.000

=====

meta-GGA SCAN Cs2SrP2O7, single point on PBEsol structure; magnetic moment = 0.000 μB per atom; E_form (uncorrected) = -2.78 eV/atom; DOS at the Fermi energy = 0.00 states/eV per cell
1.0
5.256 -3.016 0.000
5.256 3.016 0.000
-3.851 0.000 12.966
Cs Sr P O
4 2 4 14
Direct
0.079 0.630 0.833
0.370 0.921 0.667
0.630 0.079 0.333
0.921 0.370 0.167
0.000 0.500 0.500
0.500 0.000 0.000
0.235 0.698 0.133
0.302 0.765 0.367
0.698 0.235 0.633
0.765 0.302 0.867
0.034 0.205 0.930
0.168 0.832 0.250
0.191 0.605 0.388
0.205 0.034 0.430
0.386 0.404 0.131
0.395 0.809 0.112
0.404 0.386 0.631
0.596 0.614 0.369
0.605 0.191 0.888
0.614 0.596 0.869
0.795 0.966 0.570
0.809 0.395 0.612
0.832 0.168 0.750
0.966 0.795 0.070